A relaxed structure of DyErCu. Source: Alexandria via LeMat-Bulk, functional PBE.

a b c (Å): 6.870 4.873 8.651
angles (deg): 90.00 90.00 90.00
Positions (direct):
Dy (0.015, 0.250, 0.175)
Dy (0.485, 0.750, 0.675)
Dy (0.515, 0.250, 0.325)
Dy (0.985, 0.750, 0.825)
Er (0.143, 0.250, 0.584)
Er (0.357, 0.750, 0.084)
Er (0.643, 0.250, 0.916)
Er (0.857, 0.750, 0.416)
Cu (0.242, 0.250, 0.900)
Cu (0.258, 0.750, 0.400)
Cu (0.742, 0.250, 0.600)
Cu (0.758, 0.750, 0.100)

Density ... 9.02 g/cm³
Energy ... -4.593 eV/atom
V ... 24.13 Å³ per atom
Symmetry ... No. 62